# 1
This record from the Alexandria database describes a relaxed YZr2GaTc crystal. The functional is PBE.

Summary:
Its crystal system is tetragonal.

abc: 5.104 4.640 5.104
angles: 90.00 90.00 90.00
Sites, in units of the cell vectors:
Y1 0.500 0.500 0.500
Ga1 0.000 0.000 0.000
Tc1 0.000 0.500 0.000
Zr1 0.000 0.000 0.500
Zr2 0.500 0.000 0.000

# 2
This record from the Alexandria database describes a relaxed ZnGaTc2 crystal. The functional is PBE.

Summary:
Its crystal system is cubic.

abc: 4.319 4.319 4.319
angles: 60.00 60.00 60.00
Sites, in units of the cell vectors:
Zn1 0.000 0.000 0.000
Tc1 0.250 0.250 0.250
Tc2 0.750 0.750 0.750
Ga1 0.500 0.500 0.500

# 3
This record from the Alexandria database describes a relaxed ZnGa2Tc crystal. The functional is PBE.

Summary:
Its crystal system is tetragonal.

abc: 3.334 3.334 5.390
angles: 90.00 90.00 90.00
Sites, in units of the cell vectors:
Zn1 0.500 0.500 0.500
Tc1 0.500 0.500 0.000
Ga1 0.000 0.000 0.760
Ga2 0.000 0.000 0.240

no.,DOS(E_F) (states/eV/atom),magnetization (μB/cell),formation energy from the elements (eV/atom)
1,1.40,0.0,0.481
2,1.69,0.0,0.144
3,0.56,0.0,-0.117